A plane-wave DFT calculation with GGA-PBE was carried out for PrHoCd after structural relaxation.

Output
**DOS at the Fermi energy**: 5.069 states/eV/f.u.
**Formation energy**: 92 meV/atom
**Offset from the most stable computed form**: 285 meV per atom

Lattice parameters (Å, degrees): 5.2285 5.2285 7.4105 90.00 90.00 90.00
With the nearest neighbours (Å) after each atom.
Space group I-4m2 (No. 119)
Unique sites:
Pr1 0.0000 0.0000 0.0000 x2  4 Cd 3.20
Ho1 0.0000 0.0000 0.5000 x2  4 Cd 3.20
Cd1 0.0000 0.5000 0.2500 x2  4 Pr 3.20, 4 Ho 3.20

***

A plane-wave DFT calculation with GGA-PBE was carried out for La5Y2Tm4 after structural relaxation.

Output
**DOS at the Fermi energy**: 15.536 states/eV/f.u.
**Formation energy**: 79 meV/atom
**Offset from the most stable computed form**: 0 meV per atom

Lattice parameters (Å, degrees): 17.7498 3.5658 11.7209 90.00 93.99 90.00
With the nearest neighbours (Å) after each atom.
Space group C2/m (No. 12)
Unique sites:
La1 0.0000 0.0000 0.0000 x2  6 Tm 3.55-3.56, 6 La 3.57-3.64
La2 0.0965 0.5000 0.5355 x4  4 Tm 3.32-3.59, 3 La 3.47-3.57, 3 Y 3.52-3.63
La3 0.1762 0.5000 0.0697 x4  4 Tm 3.47-3.67, 6 La 3.57-3.65, 2 Y 3.74
Y1 0.2156 0.0000 0.3475 x4  5 La 3.52-3.74, 2 Y 3.57, 4 Tm 3.64-3.74
Tm1 0.0357 0.5000 0.2613 x4  5 La 3.32-3.56, 4 Tm 3.57-3.61
Tm2 0.1397 0.0000 0.7973 x4  6 La 3.52-3.67, 4 Tm 3.57-3.61, 2 Y 3.64

***

A plane-wave DFT calculation with GGA-PBE was carried out for PrAgBiTe3 after structural relaxation.

Output
**Formation energy from raw total energies**: -0.58 eV per atom
**DOS at the Fermi energy**: 1.160 states/eV/f.u.

Lattice parameters (Å, degrees): 9.2739 4.3791 9.7803 90.00 98.90 90.00
With the nearest neighbours (Å) after each atom.
Space group P2_1/m (No. 11)
Unique sites:
Pr1 0.1399 0.2500 0.2104 x2  7 Te 3.19-3.38
Ag1 0.0857 0.2500 0.5702 x2  4 Te 2.85-2.97, 2 Ag 2.92
Bi1 0.4452 0.7500 0.7630 x2  3 Te 3.01-3.27
Te1 0.1102 0.2500 0.8644 x2  1 Ag 2.85, 2 Pr 3.19
Te2 0.2377 0.7500 0.4606 x2  3 Ag 2.90-2.97
Te3 0.3682 0.7500 0.0900 x2  2 Bi 3.01

***

A plane-wave DFT calculation with GGA-PBE was carried out for CuRuPt2 after structural relaxation.

Output
**DOS at the Fermi energy**: 4.314 states/eV/f.u.
**Formation energy**: 5 meV/atom
**Offset from the most stable computed form**: 54 meV per atom

Lattice parameters (Å, degrees): 5.4459 5.4604 7.7307 90.00 90.00 90.00
With the nearest neighbours (Å) after each atom.
Space group Fmmm (No. 69)
Unique sites:
Cu1 0.0000 0.0000 0.0000 x4  4 Ru 2.72-2.73, 8 Pt 2.73
Ru1 0.0000 0.0000 0.5000 x4  4 Cu 2.72-2.73, 8 Pt 2.73
Pt1 0.2500 0.2500 0.2500 x8  4 Pt 2.72-2.73, 4 Ru 2.73, 4 Cu 2.73

***

A plane-wave DFT calculation with GGA-PBE was carried out for BaNdHgSb after structural relaxation.

Output
**Formation energy from raw total energies**: -0.61 eV per atom
**DOS at the Fermi energy**: 3.956 states/eV/f.u.

Lattice parameters (Å, degrees): 8.0413 8.0413 8.0413 90.00 90.00 90.00
With the nearest neighbours (Å) after each atom.
Space group F-43m (No. 216)
Unique sites:
Ba1 0.0000 0.0000 0.0000 x4  4 Hg 3.48, 4 Sb 3.48
Nd1 0.0000 0.0000 0.5000 x4  4 Sb 3.48, 4 Hg 3.48
Hg1 0.2500 0.2500 0.2500 x4  4 Ba 3.48, 4 Nd 3.48
Sb1 0.2500 0.2500 0.7500 x4  4 Ba 3.48, 4 Nd 3.48

***

A plane-wave DFT calculation with GGA-PBE was carried out for U2Tl3CuSe6 after structural relaxation.

Output
**Formation energy from raw total energies**: -0.72 eV per atom
**DOS at the Fermi energy**: 14.109 states/eV/f.u.

Lattice parameters (Å, degrees): 6.9309 12.6028 8.1563 90.00 106.39 90.00
With the nearest neighbours (Å) after each atom.
Space group C2/m (No. 12)
Unique sites:
U1 0.0000 0.1653 0.0000 x4  6 Se 2.81-2.85
Tl1 0.0000 0.0000 0.5000 x2  6 Se 3.37-3.52
Tl2 0.0000 0.3378 0.5000 x4  6 Se 3.26-3.37
Cu1 0.0000 0.5000 0.0000 x2  2 Se 2.56
Se1 0.2401 0.3248 0.2090 x8  2 U 2.81-2.85, 1 Cu 2.99
Se2 0.2466 0.5000 0.8188 x4  1 Cu 2.56, 2 U 2.85

***

A plane-wave DFT calculation with GGA-PBE was carried out for Co2As after structural relaxation.

Output
**DOS at the Fermi energy**: 2.929 states/eV/f.u.
**Formation energy**: -2 meV/atom

Lattice parameters (Å, degrees): 8.8198 2.8559 5.9266 90.00 97.13 90.00
With the nearest neighbours (Å) after each atom.
Space group Cm (No. 8)
Unique sites:
Co1 0.0000 0.0000 0.0000 x2  5 As 2.39-2.54, 3 Co 2.61
Co2 0.0913 0.0000 0.5981 x2  4 As 2.37-2.46, 4 Co 2.42-2.61
Co3 0.2251 0.5000 0.2856 x2  4 As 2.37-2.44
Co4 0.3679 0.0000 0.6640 x2  3 As 2.33-2.45, 5 Co 2.42-2.61
As1 0.2148 0.5000 0.8833 x2  8 Co 2.37-2.54
As2 0.4505 0.0000 0.3057 x2  8 Co 2.33-2.46

***

A plane-wave DFT calculation with GGA-PBE was carried out for ZnCd2P after structural relaxation.

Output
**DOS at the Fermi energy**: 1.544 states/eV/f.u.
**Formation energy**: 160 meV/atom
**Offset from the most stable computed form**: 62 meV per atom

Lattice parameters (Å, degrees): 3.5183 3.5183 6.9260 90.00 90.00 90.00
With the nearest neighbours (Å) after each atom.
Space group P4mm (No. 99)
Unique sites:
Zn1 0.0000 0.0000 0.0000 x1  4 P 2.49
Cd1 0.0000 0.0000 0.4039 x1  1 Zn 2.80, 4 Cd 3.00
Cd2 0.5000 0.5000 0.6449 x1  1 P 2.61
P1 0.5000 0.5000 0.0222 x1  4 Zn 2.49, 1 Cd 2.61

***

Among the records above, which one has the lowest DOS at the Fermi energy? PrAgBiTe3

***

Repeat the third record exactly.
A plane-wave DFT calculation with GGA-PBE was carried out for PrAgBiTe3 after structural relaxation.

Output
**Formation energy from raw total energies**: -0.58 eV per atom
**DOS at the Fermi energy**: 1.160 states/eV/f.u.

Lattice parameters (Å, degrees): 9.2739 4.3791 9.7803 90.00 98.90 90.00
With the nearest neighbours (Å) after each atom.
Space group P2_1/m (No. 11)
Unique sites:
Pr1 0.1399 0.2500 0.2104 x2  7 Te 3.19-3.38
Ag1 0.0857 0.2500 0.5702 x2  4 Te 2.85-2.97, 2 Ag 2.92
Bi1 0.4452 0.7500 0.7630 x2  3 Te 3.01-3.27
Te1 0.1102 0.2500 0.8644 x2  1 Ag 2.85, 2 Pr 3.19
Te2 0.2377 0.7500 0.4606 x2  3 Ag 2.90-2.97
Te3 0.3682 0.7500 0.0900 x2  2 Bi 3.01

***

Look up the DOS at the Fermi energy of the third one. 1.160 states/eV/f.u.

***

What is the DOS at the Fermi energy in the fourth record? 4.314 states/eV/f.u.